Ca3LaRe | PBE | optimized geometry

Lattice parameters (Å, degrees): 5.6127 5.6127 5.6127 90.00 90.00 90.00
Closest atoms and distances in Å follow each position.
Sites, in units of the cell vectors:
Ca (0.0000, 0.0000, 0.5000)  2 Re 2.81
Ca (0.0000, 0.5000, 0.0000)  2 Re 2.81
Ca (0.5000, 0.0000, 0.0000)  2 Re 2.81
La (0.5000, 0.5000, 0.5000)  12 Ca 3.97
Re (0.0000, 0.0000, 0.0000)  6 Ca 2.81

Computed properties:
Excess energy over the best structure of this formula in the dataset   0.00 eV per formula unit
Calculated volume   176.82 Å³ per cell
Calculated density   4182 kg/m3